Run P
{
  "formula": "NpMnRu",
  "functional": "PBE",
  "state": "relaxed",
  "n_ef_per_ev_cell": 9.47,
  "lattice": [[2.8544, 0.0000, 0.0000], [0.0000, 4.8299, 0.0000], [0.0000, 0.0000, 6.9429]],
  "species": ["Np", "Np", "Mn", "Mn", "Ru", "Ru"],
  "frac_coords": [[0.2500, 0.2500, 0.1422], [0.7500, 0.7500, 0.8578], [0.2500, 0.7500, 0.1894], [0.7500, 0.2500, 0.8106], [0.2500, 0.2500, 0.4836], [0.7500, 0.7500, 0.5164]]
}

=====

Run Q
{
  "formula": "NpMnRu",
  "functional": "PBE",
  "state": "relaxed",
  "n_ef_per_ev_cell": 4.67,
  "lattice": [[4.4309, 0.0000, 0.0000], [-2.2154, 3.8373, 0.0000], [0.0000, 0.0000, 2.8102]],
  "species": ["Np", "Mn", "Ru"],
  "frac_coords": [[0.0000, 0.0000, 0.0000], [0.6667, 0.3333, 0.7382], [0.3333, 0.6667, 0.2819]]
}

=====

Relative energy of each structure, in kJ/mol of atoms: run P 23.5; run Q 0.0.

=====

Run P
{
  "formula": "Np2MnRu",
  "functional": "PBE",
  "state": "relaxed",
  "n_ef_per_ev_cell": 7.94,
  "lattice": [[1.4437, 0.8335, 9.4325], [-1.4437, 0.8335, 9.4325], [0.0000, -1.6671, 9.4325]],
  "species": ["Np", "Np", "Mn", "Ru"],
  "frac_coords": [[0.0826, 0.0826, 0.0826], [0.9174, 0.9174, 0.9174], [0.0000, 0.0000, 0.0000], [0.5000, 0.5000, 0.5000]]
}

=====

Run Q
{
  "formula": "Np2MnRu",
  "functional": "PBE",
  "state": "relaxed",
  "n_ef_per_ev_cell": 8.25,
  "lattice": [[4.7837, 0.0000, 0.0000], [0.0000, 4.7837, 0.0000], [0.0000, 0.0000, 3.2537]],
  "species": ["Np", "Np", "Mn", "Ru"],
  "frac_coords": [[0.0000, 0.5000, 0.0000], [0.5000, 0.0000, 0.0000], [0.0000, 0.0000, 0.5000], [0.5000, 0.5000, 0.5000]]
}

=====

Relative energy of each structure, in kJ/mol of atoms: run P 23.4; run Q 0.0.

=====

Run P
{
  "formula": "NpMn2S4",
  "functional": "PBE",
  "state": "relaxed",
  "n_ef_per_ev_cell": 20.31,
  "lattice": [[1.8442, -5.9135, 0.0000], [1.8442, 5.9135, 0.0000], [0.0000, 0.0000, 12.1645]],
  "species": ["Np", "Np", "Mn", "Mn", "Mn", "Mn", "S", "S", "S", "S", "S", "S", "S", "S"],
  "frac_coords": [[0.1200, 0.8800, 0.7500], [0.8800, 0.1200, 0.2500], [0.3696, 0.6304, 0.5661], [0.3696, 0.6304, 0.9339], [0.6304, 0.3696, 0.0661], [0.6304, 0.3696, 0.4339], [0.0000, 0.0000, 0.0000], [0.0000, 0.0000, 0.5000], [0.2735, 0.7265, 0.1137], [0.2735, 0.7265, 0.3863], [0.4509, 0.5491, 0.7500], [0.5491, 0.4509, 0.2500], [0.7265, 0.2735, 0.6137], [0.7265, 0.2735, 0.8863]]
}

=====

Run Q
{
  "formula": "NpMn2S4",
  "functional": "PBE",
  "state": "relaxed",
  "n_ef_per_ev_cell": 21.34,
  "lattice": [[-4.1862, 4.1862, 3.9613], [4.1862, -4.1862, 3.9613], [4.1862, 4.1862, -3.9613]],
  "species": ["Np", "Np", "Mn", "Mn", "Mn", "Mn", "S", "S", "S", "S", "S", "S", "S", "S"],
  "frac_coords": [[0.3750, 0.6250, 0.7500], [0.6250, 0.3750, 0.2500], [0.0000, 0.0000, 0.0000], [0.0000, 0.0000, 0.5000], [0.0000, 0.5000, 0.0000], [0.5000, 0.0000, 0.5000], [0.1335, 0.6980, 0.4355], [0.2374, 0.3020, 0.9355], [0.3020, 0.2374, 0.4355], [0.3020, 0.8665, 0.0645], [0.6980, 0.1335, 0.9355], [0.6980, 0.7625, 0.5645], [0.7625, 0.6980, 0.0645], [0.8665, 0.3020, 0.5645]]
}

=====

Relative energy of each structure, in kJ/mol of atoms: run P 0.0; run Q 3.9.

=====

Run P
{
  "formula": "NpMnSe2",
  "functional": "PBE",
  "state": "relaxed",
  "n_ef_per_ev_cell": 42.34,
  "lattice": [[6.8159, 0.0000, 0.0000], [0.0000, 7.3894, 0.0000], [-1.2550, 0.0000, 6.9403]],
  "species": ["Np", "Np", "Np", "Np", "Mn", "Mn", "Mn", "Mn", "Se", "Se", "Se", "Se", "Se", "Se", "Se", "Se"],
  "frac_coords": [[0.1962, 0.0570, 0.3021], [0.1962, 0.4430, 0.8021], [0.8038, 0.5570, 0.1979], [0.8038, 0.9430, 0.6979], [0.4107, 0.6436, 0.4373], [0.4107, 0.8564, 0.9373], [0.5893, 0.1436, 0.0627], [0.5893, 0.3564, 0.5627], [0.0827, 0.7348, 0.5081], [0.0827, 0.7652, 0.0081], [0.4123, 0.1171, 0.7085], [0.4123, 0.3829, 0.2085], [0.5877, 0.6171, 0.7915], [0.5877, 0.8829, 0.2915], [0.9173, 0.2348, 0.9919], [0.9173, 0.2652, 0.4919]]
}

=====

Run Q
{
  "formula": "NpMnSe2",
  "functional": "PBE",
  "state": "relaxed",
  "n_ef_per_ev_cell": 8.84,
  "lattice": [[1.9789, 1.1425, 5.5491], [-1.9789, 1.1425, 5.5491], [0.0000, -2.2851, 5.5491]],
  "species": ["Np", "Mn", "Se", "Se"],
  "frac_coords": [[0.0000, 0.0000, 0.0000], [0.5000, 0.5000, 0.5000], [0.2329, 0.2329, 0.2329], [0.7671, 0.7671, 0.7671]]
}

=====

Relative energy of each structure, in kJ/mol of atoms: run P 0.0; run Q 21.0.

=====

Run P
{
  "formula": "NpMn2V",
  "functional": "PBE",
  "state": "relaxed",
  "n_ef_per_ev_cell": 6.05,
  "lattice": [[1.3731, 0.7928, 8.6189], [-1.3731, 0.7928, 8.6189], [0.0000, -1.5856, 8.6189]],
  "species": ["Np", "Mn", "Mn", "V"],
  "frac_coords": [[0.0000, 0.0000, 0.0000], [0.2391, 0.2391, 0.2391], [0.7609, 0.7609, 0.7609], [0.5000, 0.5000, 0.5000]]
}

=====

Run Q
{
  "formula": "NpMn2V",
  "functional": "PBE",
  "state": "relaxed",
  "n_ef_per_ev_cell": 5.38,
  "lattice": [[2.8611, 0.0000, 0.0000], [0.0000, 2.8611, 0.0000], [0.0000, 0.0000, 6.9191]],
  "species": ["Np", "Mn", "Mn", "V"],
  "frac_coords": [[0.0000, 0.0000, 0.0000], [0.5000, 0.5000, 0.2915], [0.5000, 0.5000, 0.7085], [0.0000, 0.0000, 0.5000]]
}

=====

Run R
{
  "formula": "NpMn2V",
  "functional": "PBE",
  "state": "relaxed",
  "n_ef_per_ev_cell": 5.34,
  "lattice": [[4.4367, 0.0000, 0.0000], [0.0000, 4.4367, 0.0000], [0.0000, 0.0000, 2.9566]],
  "species": ["Np", "Mn", "Mn", "V"],
  "frac_coords": [[0.0000, 0.0000, 0.0000], [0.0000, 0.5000, 0.5000], [0.5000, 0.0000, 0.5000], [0.5000, 0.5000, 0.0000]]
}

=====

Relative energy of each structure, in kJ/mol of atoms: run P 25.1; run Q 0.0; run R 10.9.

=====

Run P
{
  "formula": "NpMnV",
  "functional": "PBE",
  "state": "relaxed",
  "n_ef_per_ev_cell": 10.56,
  "lattice": [[4.5133, -1.3972, 0.0000], [4.5133, 1.3972, 0.0000], [-0.5370, 0.0000, 7.2604]],
  "species": ["Np", "Np", "Mn", "Mn", "V", "V"],
  "frac_coords": [[0.1078, 0.1078, 0.2188], [0.8922, 0.8922, 0.7812], [0.3393, 0.3393, 0.1112], [0.6607, 0.6607, 0.8888], [0.1318, 0.1318, 0.5775], [0.8682, 0.8682, 0.4225]]
}

=====

Run Q
{
  "formula": "NpMnV",
  "functional": "PBE",
  "state": "relaxed",
  "n_ef_per_ev_cell": 4.72,
  "lattice": [[-1.4022, 1.4022, 5.5170], [1.4022, -1.4022, 5.5170], [1.4022, 1.4022, -5.5170]],
  "species": ["Np", "Mn", "V"],
  "frac_coords": [[0.0000, 0.0000, 0.0000], [0.3234, 0.3234, 0.0000], [0.6981, 0.6981, 0.0000]]
}

=====

Run R
{
  "formula": "NpMnV",
  "functional": "PBE",
  "state": "relaxed",
  "n_ef_per_ev_cell": 3.83,
  "lattice": [[4.2521, 0.0000, 0.0000], [-2.1260, 3.6824, 0.0000], [0.0000, 0.0000, 2.6456]],
  "species": ["Np", "Mn", "V"],
  "frac_coords": [[0.0000, 0.0000, 0.0000], [0.6667, 0.3333, 0.2906], [0.3333, 0.6667, 0.7816]]
}

=====

Relative energy of each structure, in kJ/mol of atoms: run P 13.8; run Q 0.0; run R 3.2.